## Mg2SbPb (PBE)

Data for Mg2SbPb after structural relaxation.

The structure in POSCAR format:
```
Mg2SbPb
1.0
-1.350 7.161 -5.114
-4.854 6.231 -4.107
-2.714 8.287 -1.793
Pb Sb Mg
1 1 2
direct
0.250 0.250 0.250
0.750 0.750 0.750
0.005 0.005 0.005
0.495 0.495 0.495
```

Computed properties:
The spin magnetization is 0.00 Bohr magnetons per cell. The offset from the most stable computed form comes out at 0.0496 eV per atom. Its space group is R-3m (166). The formation energy (no corrections) comes out at -0.080 eV per atom.